# K3PtI SCAN single point on PBEsol structure
data_K3PtI
_symmetry_space_group_name_H-M 'P m -3 m'
_symmetry_Int_Tables_number 221
_symmetry_space_group_name_Hall '-P 4 2 3'
_cell_length_a 6.2432
_cell_length_b 6.2432
_cell_length_c 6.2432
_cell_angle_alpha 90.00
_cell_angle_beta 90.00
_cell_angle_gamma 90.00
loop_
_atom_site_label
_atom_site_type_symbol
_atom_site_fract_x
_atom_site_fract_y
_atom_site_fract_z
K1 K 0.0000 0.0000 0.5000
Pt1 Pt 0.5000 0.5000 0.5000
I1 I 0.0000 0.0000 0.0000
# mass density = 3.00 g/cm³
# ΔE_f (raw) = -0.15 eV per atom
# total moment = 0.16 μB per formula unit

=====

# Zr2ScZn2 SCAN single point on PBEsol structure
data_Zr2ScZn2
_symmetry_space_group_name_H-M 'P 4/m b m'
_symmetry_Int_Tables_number 127
_symmetry_space_group_name_Hall '-P 4 2ab'
_cell_length_a 7.5603
_cell_length_b 7.5603
_cell_length_c 3.3529
_cell_angle_alpha 90.00
_cell_angle_beta 90.00
_cell_angle_gamma 90.00
loop_
_atom_site_label
_atom_site_type_symbol
_atom_site_fract_x
_atom_site_fract_y
_atom_site_fract_z
Zr1 Zr 0.1718 0.3282 0.0000
Sc1 Sc 0.0000 0.0000 0.5000
Zn1 Zn 0.1246 0.6246 0.5000
# mass density = 6.21 g/cm³
# energy relative to the elements = -0.2645 eV per atom
# total moment = 0.00 μB per formula unit

=====

# TcS2Br SCAN single point on PBEsol structure
data_TcS2Br
_symmetry_space_group_name_H-M 'R -3 m'
_symmetry_Int_Tables_number 166
_symmetry_space_group_name_Hall '-R 3 2"'
_cell_length_a 2.7696
_cell_length_b 2.7696
_cell_length_c 34.9083
_cell_angle_alpha 90.00
_cell_angle_beta 90.00
_cell_angle_gamma 120.00
loop_
_atom_site_label
_atom_site_type_symbol
_atom_site_fract_x
_atom_site_fract_y
_atom_site_fract_z
Tc1 Tc 0.0000 0.0000 0.0000
S1 S 0.0000 0.0000 0.0651
Br1 Br 0.0000 0.0000 0.5000
# mass density = 5.20 g/cm³
# ΔE_f (raw) = 0.61 eV per atom
# total moment = 0.00 μB per formula unit
# excess energy over the best structure of this formula in the dataset = 847 meV per atom